[1]
A plane-wave DFT calculation with PBE-GGA was carried out for a geometry-optimized Tl2AuSeI6 structure.

abc: 7.878 8.465 13.800
angles: 90.00 118.11 90.00
Space group P2_1/c (No. 14)
Inequivalent atoms, fractional coordinates:
Tl 0.191 0.093 0.228 [4 per cell]
Au 0.500 0.000 0.000 [2 per cell]
Se 0.000 0.000 0.500 [2 per cell]
I 0.179 0.219 0.969 [4 per cell]
I 0.222 0.687 0.935 [4 per cell]
I 0.375 0.017 0.783 [4 per cell]

Values from the calculation:
Theoretical density ... 5.9 g/cm³
Magnetization ... 0.0 μB/cell
ΔE_f (raw) ... -0.24 eV per atom



[2]
A plane-wave DFT calculation with PBE-GGA was carried out for a geometry-optimized VAuSeI2 structure.

abc: 5.527 5.527 4.605
angles: 90.00 90.00 90.00
Space group P4/mmm (No. 123)
Inequivalent atoms, fractional coordinates:
V 0.000 0.000 0.000 [1 per cell]
Au 0.500 0.500 0.500 [1 per cell]
Se 0.000 0.000 0.500 [1 per cell]
I 0.000 0.500 0.000 [2 per cell]

Values from the calculation:
Theoretical density ... 6.9 g/cm³
Magnetization ... 0.0 μB/cell
ΔE_f (raw) ... 0.28 eV per atom



[3]
A plane-wave DFT calculation with PBE-GGA was carried out for a geometry-optimized SiAuI structure.

abc: 4.009 4.009 6.385
angles: 73.47 73.58 65.08
Space group P1 (No. 1)
Inequivalent atoms, fractional coordinates:
Si 0.000 0.000 0.000 [1 per cell]
Au 0.619 0.619 0.094 [1 per cell]
I 0.129 0.131 0.585 [1 per cell]

Values from the calculation:
Theoretical density ... 6.7 g/cm³
Magnetization ... 0.0 μB/cell
ΔE_f (raw) ... 0.01 eV per atom
Offset from the most stable computed form ... 0.0432 eV/atom